A relaxed CoCu2IO6 crystal, computed with PBE+U.

a b c (Å): 10.292 8.867 5.139
angles (deg): 90.00 101.20 90.00
Space group C2/c (No. 15)
Asymmetric unit:
Co: 0.000 0.083 0.250
Cu: 0.207 0.396 0.339
I: 0.000 0.272 0.750
O: 0.101 0.078 0.610
O: 0.102 0.237 0.120
O: 0.127 0.409 0.667

As for the total DFT energy (no corrections): -4.944 eV/atom. As for the size of the total moment: 0.00 μB/f.u.